Record 1
## Be2CdAu2 (GGA-PBE)

Data for a relaxed structure of Be2CdAu2.

abc: 3.3339 3.3339 7.0365
angles: 90.00 90.00 90.00
Atoms (fractional coordinates):
Be (0.0000, 0.5000, 0.0000)
Be (0.5000, 0.0000, 0.0000)
Cd (0.0000, 0.0000, 0.5000)
Au (0.5000, 0.5000, 0.2482)
Au (0.5000, 0.5000, 0.7518)

Record 2
## Tb2BeSn (GGA-PBE)

Data for a relaxed structure of Tb2BeSn.

abc: 10.5460 10.5460 10.5460
angles: 18.96 18.96 18.96
Atoms (fractional coordinates):
Tb (0.1024, 0.1024, 0.1024)
Tb (0.8976, 0.8976, 0.8976)
Be (0.5000, 0.5000, 0.5000)
Sn (0.0000, 0.0000, 0.0000)

Record 3
## GaMo2Pb (GGA-PBE)

Data for a relaxed structure of GaMo2Pb.

abc: 4.6327 4.6327 4.6327
angles: 60.00 60.00 60.00
Atoms (fractional coordinates):
Ga (0.0000, 0.0000, 0.0000)
Mo (0.2500, 0.2500, 0.2500)
Mo (0.7500, 0.7500, 0.7500)
Pb (0.5000, 0.5000, 0.5000)

Record 4
## Ba2Li3Mg12In (GGA-PBE)

Data for a relaxed structure of Ba2Li3Mg12In.

abc: 7.9316 7.9316 7.9316
angles: 84.08 84.08 84.08
Atoms (fractional coordinates):
Ba (0.2432, 0.2432, 0.2432)
Ba (0.7568, 0.7568, 0.7568)
Li (0.0000, 0.0000, 0.5000)
Li (0.0000, 0.5000, 0.0000)
Li (0.5000, 0.0000, 0.0000)
Mg (0.1701, 0.5595, 0.5595)
Mg (0.1988, 0.1988, 0.7353)
Mg (0.1988, 0.7353, 0.1988)
Mg (0.2647, 0.8012, 0.8012)
Mg (0.4405, 0.4405, 0.8299)
Mg (0.4405, 0.8299, 0.4405)
Mg (0.5595, 0.1701, 0.5595)
Mg (0.5595, 0.5595, 0.1701)
Mg (0.7353, 0.1988, 0.1988)
Mg (0.8012, 0.2647, 0.8012)
Mg (0.8012, 0.8012, 0.2647)
Mg (0.8299, 0.4405, 0.4405)
In (0.0000, 0.0000, 0.0000)

Record 5
## Y5HoAl6 (GGA-PBE)

Data for a relaxed structure of Y5HoAl6.

abc: 5.0881 7.2180 8.0418
angles: 90.00 108.25 90.00
Atoms (fractional coordinates):
Y (0.0000, 0.0000, 0.0000)
Y (0.3332, 0.0000, 0.6664)
Y (0.3335, 0.5000, 0.6671)
Y (0.6665, 0.5000, 0.3329)
Y (0.6668, 0.0000, 0.3336)
Ho (0.0000, 0.5000, 0.0000)
Al (0.1664, 0.2509, 0.3327)
Al (0.1664, 0.7491, 0.3327)
Al (0.5000, 0.2509, 0.0000)
Al (0.5000, 0.7491, 0.0000)
Al (0.8336, 0.2509, 0.6673)
Al (0.8336, 0.7491, 0.6673)

Record 6
## Ti2Tc2P (GGA-PBE)

Data for a relaxed structure of Ti2Tc2P.

abc: 7.6558 7.6558 7.6558
angles: 154.38 154.38 36.55
Atoms (fractional coordinates):
Ti (0.0921, 0.0921, 0.0000)
Ti (0.9079, 0.9079, 0.0000)
Tc (0.2500, 0.7500, 0.5000)
Tc (0.7500, 0.2500, 0.5000)
P (0.5000, 0.5000, 0.0000)

Number 1: formation energy 26 meV per atom. Number 2: formation energy 236 meV per atom. Number 3: formation energy 607 meV per atom. Number 4: formation energy 47 meV per atom. Number 5: formation energy -415 meV per atom. Number 6: formation energy -28 meV per atom.